#one
Entry from the Alexandria database: a relaxed structure of Pm3Sb2Se2 (GGA-PBE).

POSCAR file:
```
Pm3Sb2Se2
1.0
7.953 -2.184 0.000
7.953 2.184 0.000
-3.809 0.000 7.001
Pm Sb Se
3 2 2
direct
0.000 0.000 0.000
0.283 0.283 0.313
0.717 0.717 0.687
0.357 0.357 0.005
0.643 0.643 0.995
0.128 0.128 0.422
0.872 0.872 0.578
```


#two
Entry from the Alexandria database: a relaxed structure of Pm3Sb2Se2 (GGA-PBE).

POSCAR file:
```
Pm3Sb2Se2
1.0
6.652 -2.131 0.000
6.652 2.131 0.000
-4.188 0.000 7.488
Pm Sb Se
3 2 2
direct
0.000 0.000 0.000
0.349 0.349 0.271
0.651 0.651 0.729
0.069 0.069 0.406
0.931 0.931 0.594
0.330 0.330 0.909
0.670 0.670 0.091
```


Quick one: most stable of them? #two


#one
Entry from the Alexandria database: a relaxed structure of PmSiSb (GGA-PBE).

POSCAR file:
```
PmSiSb
1.0
3.988 0.000 0.000
0.000 4.162 0.000
0.000 0.000 9.385
Pm Si Sb
2 2 2
direct
0.000 0.002 0.000
0.500 0.998 0.500
0.000 0.498 0.606
0.500 0.502 0.106
0.000 0.499 0.305
0.500 0.501 0.805
```


#two
Entry from the Alexandria database: a relaxed structure of PmSiSb (GGA-PBE).

POSCAR file:
```
PmSiSb
1.0
4.686 0.000 0.000
-2.343 4.058 0.000
0.000 0.000 4.024
Pm Si Sb
1 1 1
direct
0.000 0.000 0.000
0.333 0.667 0.500
0.667 0.333 0.500
```


Quick one: most stable of them? #one


#one
Entry from the Alexandria database: a relaxed structure of Pm4SiSb2 (GGA-PBE).

POSCAR file:
```
Pm4SiSb2
1.0
7.852 -2.219 0.000
7.852 2.219 0.000
-3.567 0.000 6.698
Pm Si Sb
4 1 2
direct
0.119 0.119 0.436
0.378 0.378 0.020
0.622 0.622 0.980
0.881 0.881 0.564
0.000 0.000 0.000
0.265 0.265 0.265
0.735 0.735 0.735
```


#two
Entry from the Alexandria database: a relaxed structure of Pm4SiSb2 (GGA-PBE).

POSCAR file:
```
Pm4SiSb2
1.0
-2.661 2.661 8.164
2.661 -2.661 8.164
2.661 2.661 -8.164
Pm Si Sb
4 1 2
direct
0.000 0.500 0.500
0.172 0.172 0.000
0.500 0.000 0.500
0.828 0.828 0.000
0.000 0.000 0.000
0.366 0.366 0.000
0.634 0.634 0.000
```


Quick one: most stable of them? #one


#one
Entry from the Alexandria database: a relaxed structure of PmSmSb (GGA-PBE).

POSCAR file:
```
PmSmSb
1.0
-1.714 2.943 9.231
1.714 -2.943 9.231
1.714 2.943 -9.231
Pm Sm Sb
2 2 2
direct
0.246 0.000 0.246
0.754 0.000 0.754
0.173 0.673 0.500
0.827 0.327 0.500
0.343 0.843 0.500
0.657 0.157 0.500
```


#two
Entry from the Alexandria database: a relaxed structure of PmSmSb (GGA-PBE).

POSCAR file:
```
PmSmSb
1.0
0.000 3.672 3.672
3.672 0.000 3.672
3.672 3.672 0.000
Pm Sm Sb
1 1 1
direct
0.000 0.000 0.000
0.500 0.500 0.500
0.250 0.250 0.250
```


#three
Entry from the Alexandria database: a relaxed structure of PmSmSb (GGA-PBE).

POSCAR file:
```
PmSmSb
1.0
-2.066 2.066 5.082
2.066 -2.066 5.082
2.066 2.066 -5.082
Pm Sm Sb
1 1 1
direct
0.000 0.000 0.000
0.692 0.692 0.000
0.345 0.345 0.000
```


Quick one: most stable of them? #three


#one
Entry from the Alexandria database: a relaxed structure of Pm3SmSb2 (GGA-PBE).

POSCAR file:
```
Pm3SmSb2
1.0
4.565 0.000 0.000
0.000 4.565 0.000
0.000 0.000 8.780
Pm Sm Sb
3 1 2
direct
0.000 0.000 0.000
0.000 0.500 0.645
0.500 0.000 0.355
0.500 0.500 0.000
0.000 0.500 0.279
0.500 0.000 0.721
```


#two
Entry from the Alexandria database: a relaxed structure of Pm3SmSb2 (GGA-PBE).

POSCAR file:
```
Pm3SmSb2
1.0
9.315 -2.213 0.000
9.315 2.213 0.000
-4.380 0.000 9.009
Pm Sm Sb
6 2 4
direct
0.054 0.054 0.176
0.312 0.312 0.609
0.352 0.352 0.027
0.648 0.648 0.973
0.688 0.688 0.391
0.946 0.946 0.824
0.111 0.111 0.619
0.889 0.889 0.381
0.248 0.248 0.222
0.492 0.492 0.652
0.508 0.508 0.348
0.752 0.752 0.778
```


Quick one: most stable of them? #one


#one
Entry from the Alexandria database: a relaxed structure of PmSmSb2 (GGA-PBE).

POSCAR file:
```
PmSmSb2
1.0
5.800 0.000 0.000
0.000 5.800 0.000
0.000 0.000 3.378
Pm Sm Sb
1 1 2
direct
0.000 0.000 0.000
0.500 0.500 0.000
0.000 0.500 0.500
0.500 0.000 0.500
```


#two
Entry from the Alexandria database: a relaxed structure of PmSmSb2 (GGA-PBE).

POSCAR file:
```
PmSmSb2
1.0
2.222 1.283 7.614
-2.222 1.283 7.614
0.000 -2.566 7.614
Pm Sm Sb
1 1 2
direct
0.000 0.000 0.000
0.829 0.829 0.829
0.414 0.414 0.414
0.582 0.582 0.582
```


#three
Entry from the Alexandria database: a relaxed structure of PmSmSb2 (GGA-PBE).

POSCAR file:
```
PmSmSb2
1.0
2.242 1.294 7.313
-2.242 1.294 7.313
0.000 -2.589 7.313
Pm Sm Sb
1 1 2
direct
0.000 0.000 0.000
0.500 0.500 0.500
0.250 0.250 0.250
0.750 0.750 0.750
```


Quick one: most stable of them? #three


#one
Entry from the Alexandria database: a relaxed structure of PmSmSb2 (GGA-PBE).

POSCAR file:
```
PmSmSb2
1.0
0.000 3.870 3.870
3.870 0.000 3.870
3.870 3.870 0.000
Pm Sm Sb
1 1 2
direct
0.000 0.000 0.000
0.500 0.500 0.500
0.250 0.250 0.250
0.750 0.750 0.750
```


#two
Entry from the Alexandria database: a relaxed structure of PmSmSb2 (GGA-PBE).

POSCAR file:
```
PmSmSb2
1.0
4.472 0.000 0.000
-2.236 3.873 0.000
0.000 0.000 14.740
Pm Sm Sb
2 2 4
direct
0.333 0.667 0.250
0.667 0.333 0.750
0.000 0.000 0.000
0.000 0.000 0.500
0.333 0.667 0.622
0.333 0.667 0.878
0.667 0.333 0.122
0.667 0.333 0.378
```


Quick one: most stable of them? #two


#one
Entry from the Alexandria database: a relaxed structure of PmSm3Sb4 (GGA-PBE).

POSCAR file:
```
PmSm3Sb4
1.0
4.476 -6.330 0.000
4.476 6.330 0.000
0.000 0.000 4.478
Pm Sm Sb
1 3 4
direct
0.000 0.000 0.000
0.000 0.500 0.500
0.500 0.000 0.500
0.500 0.500 0.000
0.250 0.750 0.000
0.251 0.251 0.500
0.749 0.749 0.500
0.750 0.250 0.000
```


#two
Entry from the Alexandria database: a relaxed structure of PmSm3Sb4 (GGA-PBE).

POSCAR file:
```
PmSm3Sb4
1.0
6.327 0.000 0.000
0.000 6.327 0.000
0.000 0.000 6.327
Pm Sm Sb
1 3 4
direct
0.000 0.000 0.000
0.000 0.500 0.500
0.500 0.000 0.500
0.500 0.500 0.000
0.000 0.000 0.500
0.000 0.500 0.000
0.500 0.000 0.000
0.500 0.500 0.500
```


Quick one: most stable of them? #two


#one
Entry from the Alexandria database: a relaxed structure of Tb2PmSb (GGA-PBE).

POSCAR file:
```
Tb2PmSb
1.0
2.064 -6.160 0.000
2.064 6.160 0.000
0.000 0.000 9.722
Tb Pm Sb
4 2 2
direct
0.138 0.862 0.542
0.138 0.862 0.958
0.862 0.138 0.042
0.862 0.138 0.458
0.442 0.558 0.750
0.558 0.442 0.250
0.263 0.737 0.250
0.737 0.263 0.750
```


#two
Entry from the Alexandria database: a relaxed structure of Tb2PmSb (GGA-PBE).

POSCAR file:
```
Tb2PmSb
1.0
4.847 0.000 0.000
0.000 4.847 0.000
0.000 0.000 4.807
Tb Pm Sb
2 1 1
direct
0.000 0.500 0.000
0.500 0.000 0.000
0.000 0.000 0.500
0.500 0.500 0.500
```


Quick one: most stable of them? #one


#one
Entry from the Alexandria database: a relaxed structure of Tb2PmSb (GGA-PBE).

POSCAR file:
```
Tb2PmSb
1.0
4.008 0.000 0.000
0.000 4.008 0.000
0.000 0.000 7.378
Tb Pm Sb
2 1 1
direct
0.000 0.000 0.218
0.000 0.000 0.782
0.500 0.500 0.500
0.500 0.500 0.000
```


#two
Entry from the Alexandria database: a relaxed structure of Tb2PmSb (GGA-PBE).

POSCAR file:
```
Tb2PmSb
1.0
2.015 1.163 9.597
-2.015 1.163 9.597
0.000 -2.327 9.597
Tb Pm Sb
2 1 1
direct
0.000 0.000 0.000
0.199 0.199 0.199
0.766 0.766 0.766
0.600 0.600 0.600
```


#three
Entry from the Alexandria database: a relaxed structure of Tb2PmSb (GGA-PBE).

POSCAR file:
```
Tb2PmSb
1.0
0.000 3.835 3.835
3.835 0.000 3.835
3.835 3.835 0.000
Tb Pm Sb
2 1 1
direct
0.250 0.250 0.250
0.750 0.750 0.750
0.000 0.000 0.000
0.500 0.500 0.500
```


Quick one: most stable of them? #one


#one
Entry from the Alexandria database: a relaxed structure of Tb3PmSb2 (GGA-PBE).

POSCAR file:
```
Tb3PmSb2
1.0
4.505 0.000 0.000
0.000 4.505 0.000
0.000 0.000 8.593
Tb Pm Sb
3 1 2
direct
0.000 0.000 0.000
0.000 0.500 0.647
0.500 0.000 0.353
0.500 0.500 0.000
0.000 0.500 0.283
0.500 0.000 0.717
```


#two
Entry from the Alexandria database: a relaxed structure of Tb3PmSb2 (GGA-PBE).

POSCAR file:
```
Tb3PmSb2
1.0
-3.525 7.317 3.782
3.525 -7.317 3.782
3.525 7.317 -3.782
Tb Pm Sb
6 2 4
direct
0.045 0.750 0.295
0.250 0.250 0.000
0.455 0.750 0.705
0.545 0.250 0.295
0.750 0.750 0.000
0.955 0.250 0.705
0.000 0.500 0.500
0.500 0.000 0.500
0.149 0.167 0.316
0.351 0.667 0.018
0.649 0.333 0.982
0.851 0.833 0.684
```


Quick one: most stable of them? #one


#one
Entry from the Alexandria database: a relaxed structure of PmTcSb2 (GGA-PBE).

POSCAR file:
```
PmTcSb2
1.0
1.634 0.943 10.706
-1.634 0.943 10.706
0.000 -1.886 10.706
Pm Tc Sb
1 1 2
direct
0.000 0.000 0.000
0.500 0.500 0.500
0.418 0.418 0.418
0.582 0.582 0.582
```


#two
Entry from the Alexandria database: a relaxed structure of PmTcSb2 (GGA-PBE).

POSCAR file:
```
PmTcSb2
1.0
3.371 0.000 0.000
0.000 3.371 0.000
0.000 0.000 7.766
Pm Tc Sb
1 1 2
direct
0.000 0.000 0.000
0.000 0.000 0.500
0.500 0.500 0.294
0.500 0.500 0.706
```


Quick one: most stable of them? #two